No. 1
VASP calculation (PBE-GGA) on a relaxed structure of TaCdP2.

The formation energy comes out at -44.1 meV/atom.

The structure belongs to space group Pm (No. 6); the cell edges are 3.584, 3.574 and 6.202 Å and the angles 90.00°, 90.12° and 90.00°. The asymmetric unit holds Ta at (0.000, 0.000, 0.000), Cd at (0.497, 0.500, 0.472), P at (0.500, 0.500, 0.042) and P at (0.998, 0.000, 0.622).

No. 2
VASP calculation (PBE-GGA) on a relaxed structure of Tl6InPb2.

The formation energy comes out at 37.5 meV/atom.

The structure belongs to space group C2/c (No. 15); the cell edges are 12.914, 13.823 and 6.627 Å and the angles 90.00°, 106.27° and 90.00°. The asymmetric unit holds Tl at (0.022, 0.195, 0.004), Tl at (0.146, 0.404, 0.771), Tl at (0.243, 0.317, 0.285), In at (0.000, 0.403, 0.250) and Pb at (0.134, 0.012, 0.355).

No. 3
VASP calculation (PBE-GGA) on a relaxed structure of PuSCl.

The formation energy without anion corrections comes out at -5.050 eV/f.u.

The structure belongs to space group C2/m (No. 12); the cell edges are 13.903, 5.533 and 5.275 Å and the angles 90.00°, 111.97° and 90.00°. The asymmetric unit holds Pu at (0.119, 0.000, 0.367), S at (0.088, 0.000, 0.837) and Cl at (0.159, 0.500, 0.407).

No. 4
VASP calculation (PBE-GGA) on a relaxed structure of CsNa3Fe.

The formation energy comes out at 1349.7 meV/atom.

The structure belongs to space group Pm-3m (No. 221); the cell edges are 6.606, 6.606 and 6.606 Å and the angles 90.00°, 90.00° and 90.00°. The asymmetric unit holds Cs at (0.000, 0.000, 0.000), Na at (0.000, 0.000, 0.500) and Fe at (0.500, 0.500, 0.500).

No. 5
VASP calculation (PBE-GGA) on a relaxed structure of RbCaAg.

The formation energy comes out at -87.3 meV/atom.

The structure belongs to space group C2/m (No. 12); the cell edges are 5.917, 5.922 and 14.197 Å and the angles 90.00°, 90.55° and 90.00°. The asymmetric unit holds Rb at (0.250, 0.000, 0.151), Ca at (0.248, 0.000, 0.419) and Ag at (0.247, 0.500, 0.343).

No. 6
VASP calculation (PBE-GGA) on a relaxed structure of Tb6Tl2Os.

The formation energy comes out at -279.0 meV/atom.

The structure belongs to space group Amm2 (No. 38); the cell edges are 3.925, 14.832 and 8.678 Å and the angles 90.00°, 90.00° and 90.00°. The asymmetric unit holds Tb at (0.000, 0.000, 0.000), Tb at (0.000, 0.117, 0.629), Tb at (0.500, 0.000, 0.358), Tb at (0.500, 0.192, 0.941), Tl at (0.000, 0.169, 0.250) and Os at (0.500, 0.000, 0.766).

No. 7
VASP calculation (PBE-GGA) on a relaxed structure of CsLiGePb2.

The formation energy comes out at 1231.0 meV/atom.

The structure belongs to space group P4/mmm (No. 123); the cell edges are 6.344, 6.344 and 5.157 Å and the angles 90.00°, 90.00° and 90.00°. The asymmetric unit holds Cs at (0.000, 0.000, 0.000), Li at (0.000, 0.000, 0.500), Ge at (0.500, 0.500, 0.500) and Pb at (0.000, 0.500, 0.000).

No. 8
VASP calculation (PBE-GGA) on a relaxed structure of Zn2AgSb.

The formation energy without anion corrections comes out at 0.475 eV/f.u.

The structure belongs to space group Pmm2 (No. 25); the cell edges are 3.154, 4.005 and 6.152 Å and the angles 90.00°, 90.00° and 90.00°. The asymmetric unit holds Zn at (0.000, 0.000, 0.000), Zn at (0.500, 0.500, 0.227), Ag at (0.000, 0.000, 0.430) and Sb at (0.500, 0.500, 0.742).

No. 9
VASP calculation (PBE-GGA) on a relaxed structure of AcAsIrF.

The formation energy without anion corrections comes out at -7.637 eV/f.u.

The structure belongs to space group P4/nmm (No. 129, origin choice 2); the cell edges are 4.144, 4.144 and 8.981 Å and the angles 90.00°, 90.00° and 90.00°. The asymmetric unit holds Ac at (0.250, 0.250, 0.191), As at (0.250, 0.250, 0.661), Ir at (0.250, 0.750, 0.500) and F at (0.250, 0.750, 0.000).

No. 10
VASP calculation (PBE-GGA) on a relaxed structure of Tm5Co2.

The formation energy comes out at -218.8 meV/atom.

The structure belongs to space group C2/c (No. 15); the cell edges are 15.592, 6.205 and 6.864 Å and the angles 90.00°, 96.83° and 90.00°. The asymmetric unit holds Tm at (0.000, 0.071, 0.250), Tm at (0.094, 0.391, 0.913), Tm at (0.216, 0.068, 0.316) and Co at (0.111, 0.213, 0.572).

No. 11
VASP calculation (PBE-GGA) on a relaxed structure of CaMnSi2.

The formation energy without anion corrections comes out at -1.057 eV/f.u.

The structure belongs to space group P4/mmm (No. 123); the cell edges are 2.984, 2.984 and 6.966 Å and the angles 90.00°, 90.00° and 90.00°. The asymmetric unit holds Ca at (0.000, 0.000, 0.000), Mn at (0.000, 0.000, 0.500) and Si at (0.500, 0.500, 0.319).

No. 12
VASP calculation (PBE-GGA) on a relaxed structure of HoErTe2.

The formation energy without anion corrections comes out at -4.460 eV/f.u.

The structure belongs to space group P4/mmm (No. 123); the cell edges are 5.321, 5.321 and 3.760 Å and the angles 90.00°, 90.00° and 90.00°. The asymmetric unit holds Ho at (0.000, 0.000, 0.000), Er at (0.500, 0.500, 0.000) and Te at (0.000, 0.500, 0.500).

No. 13
VASP calculation (PBE-GGA) on a relaxed structure of Ac7Zn2Hg2.

The formation energy comes out at -50.3 meV/atom.

The structure belongs to space group Cmmm (No. 65); the cell edges are 8.380, 12.188 and 8.152 Å and the angles 90.00°, 90.00° and 90.00°. The asymmetric unit holds Ac at (0.000, 0.000, 0.000), Ac at (0.000, 0.500, 0.250), Ac at (0.250, 0.250, 0.276), Zn at (0.000, 0.296, 0.000) and Hg at (0.175, 0.000, 0.500).

No. 14
VASP calculation (PBE-GGA) on a relaxed structure of CsGe2Mo.

The formation energy comes out at 304.2 meV/atom.

The structure belongs to space group I4_1/amd (No. 141, origin choice 2); the cell edges are 6.818, 6.818 and 13.504 Å and the angles 90.00°, 90.00° and 90.00°. The asymmetric unit holds Cs at (0.000, 0.250, 0.375), Ge at (0.000, 0.000, 0.000) and Mo at (0.000, 0.250, 0.875).

No. 15
VASP calculation (PBE-GGA) on a relaxed structure of BaLaAgO3.

The formation energy without anion corrections comes out at -13.863 eV/f.u.

The structure belongs to space group P2_1/m (No. 11); the cell edges are 7.070, 3.875 and 9.523 Å and the angles 90.00°, 104.90° and 90.00°. The asymmetric unit holds Ba at (0.036, 0.250, 0.312), La at (0.467, 0.250, 0.665), Ag at (0.296, 0.250, 0.996), O at (0.203, 0.250, 0.772), O at (0.301, 0.750, 0.499) and O at (0.353, 0.250, 0.221).

No. 16
VASP calculation (PBE-GGA) on a relaxed structure of La5Bi5N.

The formation energy without anion corrections comes out at -7.945 eV/f.u.

The structure belongs to space group C2/m (No. 12); the cell edges are 13.513, 6.396 and 9.763 Å and the angles 90.00°, 118.07° and 90.00°. The asymmetric unit holds La at (0.000, 0.000, 0.000), La at (0.141, 0.500, 0.893), La at (0.162, 0.500, 0.283), Bi at (0.000, 0.500, 0.500), Bi at (0.111, 0.000, 0.771), Bi at (0.227, 0.000, 0.333) and N at (0.000, 0.500, 0.000).

No. 17
VASP calculation (PBE-GGA) on a relaxed structure of DyPu2Mg.

The formation energy comes out at 280.2 meV/atom.

The structure belongs to space group P4/mmm (No. 123); the cell edges are 4.113, 4.113 and 6.653 Å and the angles 90.00°, 90.00° and 90.00°. The asymmetric unit holds Dy at (0.000, 0.000, 0.000), Pu at (0.500, 0.500, 0.263) and Mg at (0.000, 0.000, 0.500).

No. 18
VASP calculation (PBE-GGA) on a relaxed structure of ReNiBP2.

The formation energy comes out at -124.1 meV/atom.

The structure belongs to space group Cm (No. 8); the cell edges are 8.046, 3.065 and 5.085 Å and the angles 90.00°, 93.27° and 90.00°. The asymmetric unit holds Re at (0.000, 0.000, 0.000), Ni at (0.293, 0.000, 0.329), B at (0.483, 0.000, 0.675), P at (0.096, 0.500, 0.364) and P at (0.280, 0.000, 0.856).

No. 19
VASP calculation (PBE-GGA) on a relaxed structure of Pr5Er2Tm4.

The formation energy comes out at 80.0 meV/atom.

The structure belongs to space group C2/m (No. 12); the cell edges are 17.646, 3.551 and 11.634 Å and the angles 90.00°, 93.96° and 90.00°. The asymmetric unit holds Pr at (0.000, 0.000, 0.000), Pr at (0.098, 0.500, 0.535), Pr at (0.177, 0.500, 0.071), Er at (0.216, 0.000, 0.350), Tm at (0.035, 0.500, 0.261) and Tm at (0.140, 0.000, 0.795).

No. 20
VASP calculation (PBE-GGA) on a relaxed structure of Ba2NaLiIr.

The formation energy comes out at 28.7 meV/atom.

The structure belongs to space group P4/mmm (No. 123); the cell edges are 6.108, 6.108 and 5.153 Å and the angles 90.00°, 90.00° and 90.00°. The asymmetric unit holds Ba at (0.000, 0.500, 0.000), Na at (0.000, 0.000, 0.500), Li at (0.500, 0.500, 0.500) and Ir at (0.500, 0.500, 0.000).

No. 21
VASP calculation (PBE-GGA) on a relaxed structure of ScCrP2.

The formation energy comes out at -553.7 meV/atom.

The structure belongs to space group Immm (No. 71); the cell edges are 3.745, 5.234 and 6.571 Å and the angles 90.00°, 90.00° and 90.00°. The asymmetric unit holds Sc at (0.000, 0.000, 0.000), Cr at (0.000, 0.000, 0.500) and P at (0.000, 0.500, 0.224).

No. 22
VASP calculation (PBE-GGA) on a relaxed structure of TmTa5Ag2O15.

The formation energy without anion corrections comes out at -58.319 eV/f.u.

The structure belongs to space group P4/mbm (No. 127); the cell edges are 12.581, 12.581 and 3.917 Å and the angles 90.00°, 90.00° and 90.00°. The asymmetric unit holds Tm at (0.000, 0.000, 0.000), Ta at (0.000, 0.500, 0.500), Ta at (0.080, 0.210, 0.500), Ag at (0.163, 0.663, 0.000), O at (0.000, 0.500, 0.000), O at (0.001, 0.659, 0.500), O at (0.057, 0.870, 0.500), O at (0.078, 0.186, 0.000) and O at (0.224, 0.276, 0.500).

No. 23
VASP calculation (PBE-GGA) on a relaxed structure of NaSrEu4.

The formation energy comes out at 166.2 meV/atom.

The structure belongs to space group F-43m (No. 216); the cell edges are 10.468, 10.468 and 10.468 Å and the angles 90.00°, 90.00° and 90.00°. The asymmetric unit holds Na at (0.000, 0.000, 0.000), Sr at (0.250, 0.250, 0.250) and Eu at (0.125, 0.125, 0.625).

Number 1: uncorrected energy -23.76 eV per cell, theoretical density 7.43 g/cm³. Number 2: uncorrected energy -96.06 eV per cell, theoretical density 10.27 g/cm³. Number 3: uncorrected energy -101.43 eV per cell, theoretical density 5.50 g/cm³. Number 4: uncorrected energy -6.52 eV per cell, theoretical density 1.48 g/cm³. Number 5: uncorrected energy -24.33 eV per cell, theoretical density 3.12 g/cm³. Number 6: uncorrected energy -92.51 eV per cell, theoretical density 10.21 g/cm³. Number 7: uncorrected energy -8.65 eV per cell, theoretical density 5.02 g/cm³. Number 8: uncorrected energy -9.05 eV per cell, theoretical density 7.70 g/cm³. Number 9: uncorrected energy -54.26 eV per cell, theoretical density 11.05 g/cm³. Number 10: uncorrected energy -152.40 eV per cell, theoretical density 9.70 g/cm³. Number 11: uncorrected energy -23.07 eV per cell, theoretical density 4.05 g/cm³. Number 12: uncorrected energy -19.88 eV per cell, theoretical density 9.16 g/cm³. Number 13: uncorrected energy -64.93 eV per cell, theoretical density 8.46 g/cm³. Number 14: uncorrected energy -78.81 eV per cell, theoretical density 3.96 g/cm³. Number 15: uncorrected energy -76.88 eV per cell, theoretical density 5.69 g/cm³. Number 16: uncorrected energy -120.62 eV per cell, theoretical density 7.82 g/cm³. Number 17: uncorrected energy -33.74 eV per cell, theoretical density 9.96 g/cm³. Number 18: uncorrected energy -72.69 eV per cell, theoretical density 8.43 g/cm³. Number 19: uncorrected energy -100.06 eV per cell, theoretical density 7.83 g/cm³. Number 20: uncorrected energy -15.80 eV per cell, theoretical density 4.29 g/cm³. Number 21: uncorrected energy -57.98 eV per cell, theoretical density 4.10 g/cm³. Number 22: uncorrected energy -404.26 eV per cell, theoretical density 8.19 g/cm³. Number 23: uncorrected energy -172.41 eV per cell, theoretical density 4.16 g/cm³.